(1)
Compound: NdInNi4
Source: the Alexandria database
Functional: SCAN
Structure: PBEsol geometry

Fermi-level density of states = 3.723 states/eV/cell
SG = F-43m, No. 216
DFT total energy = -143.4 eV for the cell shown
M_tot = 0.000 μB per formula unit

```
NdInNi4
1.0
-2.820 2.428 -3.294
-3.430 -2.459 -2.626
-4.829 0.728 0.922
Nd In Ni
1 1 4
Cartesian
-8.309 0.523 -3.749
0.000 0.000 0.000
-6.581 0.629 -1.402
-5.565 1.488 -3.533
-4.140 0.261 -1.868
-5.873 -0.982 -3.195
```

***

(2)
Compound: CaMn2ZnPb
Source: the Alexandria database
Functional: SCAN
Structure: PBEsol geometry

Fermi-level density of states = 4.277 states/eV/cell
SG = P4/mmm, No. 123
DFT total energy = -134.6 eV for the cell shown
M_tot = 8.081 μB per formula unit

```
CaMn2ZnPb
1.0
4.710 0.000 0.000
0.000 4.710 0.000
0.000 0.000 5.195
Pb Zn Mn Ca
1 1 2 1
Cartesian
2.355 2.355 2.597
0.000 0.000 0.000
0.000 2.355 0.000
2.355 0.000 0.000
0.000 0.000 2.597
```

***

(3)
Compound: Li2MnCoO4
Source: the Alexandria database
Functional: SCAN
Structure: PBEsol geometry

Fermi-level density of states = 2.294 states/eV/cell
SG = P2/m, No. 10
formation energy from raw total energies = -194.1 kJ per mole of atoms
excess energy over the best structure of this formula in the dataset = 0.0272 eV per atom
M_tot = 2.000 μB per formula unit

```
Li2MnCoO4
1.0
2.830 0.000 0.000
0.000 4.925 0.080
0.000 -1.653 4.603
Mn Co O Li
1 1 4 2
Cartesian
1.415 2.462 0.040
0.000 1.636 2.341
0.000 3.166 1.174
0.000 0.106 3.508
1.415 2.317 3.483
1.415 0.956 1.199
1.415 -0.826 2.301
0.000 0.000 0.000
```

***

(4)
Compound: ScSiAg3
Source: the Alexandria database
Functional: SCAN
Structure: PBEsol geometry

Fermi-level density of states = 3.727 states/eV/cell
SG = Pm-3m, No. 221
formation energy from raw total energies = 130.9 kJ per mole of atoms
M_tot = 0.000 μB per formula unit

```
ScSiAg3
1.0
4.961 0.000 0.000
0.000 4.961 0.000
0.000 0.000 4.961
Sc Si Ag
1 1 3
Cartesian
0.000 0.000 0.000
2.481 2.481 2.481
0.000 2.481 0.000
0.000 0.000 2.481
2.481 0.000 0.000
```